VASP calculation (PBE+U) on FeNi2HgF after structural relaxation.

a b c (Å): 4.874 4.874 3.858
angles (deg): 90.00 90.00 90.00
Fractional positions:
Fe 0.000 0.000 0.000
Ni 0.000 0.500 0.000
Ni 0.500 0.000 0.000
Hg 0.500 0.500 0.500
F 0.000 0.000 0.500

Properties
Total DFT energy (no corrections) = -2.358 eV/atom
Crystal system = tetragonal